Record 1
Here is Y3PbSe2 after structural relaxation from Alexandria via LeMat-Bulk. Energies are from PBE.

The value obtained for the density of states at the Fermi level is 3.3 states/eV per cell. For the formation energy (no corrections), the calculation gives -1.37 eV per atom. For the distance to the lowest polymorph of the same formula, the calculation gives 0 meV per atom.

```
Y3PbSe2
1.0
-5.1332 0.4500 5.1794
-2.8756 -5.3276 -4.1033
5.8378 -1.3671 4.1882
Se Y Pb
4 6 2
direct
0.2500 0.9162 0.0838
0.7500 0.0838 0.9162
0.7500 0.7469 0.2531
0.2500 0.2531 0.7469
0.5042 0.6762 0.8511
0.4958 0.3238 0.1489
0.5000 0.0000 0.5000
0.0042 0.8511 0.6762
0.9958 0.1489 0.3238
0.0000 0.5000 0.0000
0.2500 0.5800 0.4200
0.7500 0.4200 0.5800
```

Record 2
Here is La4NdDy15 after structural relaxation from Alexandria via LeMat-Bulk. Energies are from PBE.

The value obtained for the density of states at the Fermi level is 29.8 states/eV per cell. The calculation puts the formation enthalpy at 0 K at 0.6 kcal/mol of atoms.

```
La4NdDy15
1.0
5.0952 0.0000 0.0000
0.0000 5.0952 0.0000
0.0000 0.0000 25.2750
Dy La Nd
15 4 1
direct
0.0000 0.5000 0.9011
0.5000 0.5000 0.6002
0.5000 0.5000 0.8008
0.5000 0.5000 0.1992
0.0000 0.5000 0.5000
0.5000 0.0000 0.7005
0.0000 0.5000 0.7005
0.5000 0.0000 0.0989
0.5000 0.5000 0.0000
0.5000 0.0000 0.2995
0.5000 0.0000 0.9011
0.5000 0.0000 0.5000
0.0000 0.5000 0.0989
0.0000 0.5000 0.2995
0.5000 0.5000 0.3998
0.0000 0.0000 0.1999
0.0000 0.0000 0.8001
0.0000 0.0000 0.6003
0.0000 0.0000 0.3997
0.0000 0.0000 0.0000
```

Record 3
Here is AcAgSe2 after structural relaxation from Alexandria via LeMat-Bulk. Energies are from PBE.

The value obtained for the density of states at the Fermi level is 2.0 states/eV per cell. For the formation energy (no corrections), the calculation gives -1.07 eV per atom.

```
AcAgSe2
1.0
-1.9785 0.9108 -3.2372
-3.5540 -3.4357 1.2053
-2.5692 3.5599 2.5718
Ac Se Ag
1 2 1
direct
0.5000 0.5000 0.5000
0.0000 0.5000 0.0000
0.0000 0.0000 0.5000
0.5000 0.0000 0.0000
```

Record 4
Here is NaTi2Ir2 after structural relaxation from Alexandria via LeMat-Bulk. Energies are from PBE.

The value obtained for the density of states at the Fermi level is 6.0 states/eV per cell. The calculation puts the formation enthalpy at 0 K at -11.2 kcal/mol of atoms. For the distance to the lowest polymorph of the same formula, the calculation gives 0 meV per atom.

```
NaTi2Ir2
1.0
7.6699 0.0000 0.0000
0.0000 7.6699 0.0000
0.0000 0.0000 2.8910
Ti Ir Na
4 4 2
direct
0.3519 0.1481 0.5000
0.8519 0.3519 0.5000
0.1481 0.6481 0.5000
0.6481 0.8519 0.5000
0.1422 0.3578 0.0000
0.6422 0.1422 0.0000
0.3578 0.8578 0.0000
0.8578 0.6422 0.0000
0.0000 0.0000 0.0000
0.5000 0.5000 0.0000
```

Record 5
Here is KTbSn4 after structural relaxation from Alexandria via LeMat-Bulk. Energies are from PBE.

The calculation puts the formation enthalpy at 0 K at -5.3 kcal/mol of atoms.

```
KTbSn4
1.0
-2.6705 3.6411 -4.3714
-5.6905 -1.4432 -2.2435
-4.9589 3.5656 1.4815
K Tb Sn
1 1 4
direct
0.2500 0.2500 0.2500
0.0000 0.0000 0.0000
0.6259 0.6259 0.1222
0.1223 0.6259 0.6259
0.6259 0.6259 0.6259
0.6259 0.1222 0.6259
```

Record 6
Here is SmPuO after structural relaxation from Alexandria via LeMat-Bulk. Energies are from PBE.

The value obtained for the density of states at the Fermi level is 7.6 states/eV per cell. For the formation energy (no corrections), the calculation gives -1.52 eV per atom. For the distance to the lowest polymorph of the same formula, the calculation gives 0 meV per atom.

```
SmPuO
1.0
-1.3050 3.0411 1.3471
-2.1509 -2.2382 -1.7693
-1.2588 -2.7707 5.0353
Pu O Sm
1 1 1
direct
0.0000 0.0000 0.8934
0.3333 0.6667 0.6848
0.6667 0.3333 0.4218
```

Record 7
Here is SrNb3Pd after structural relaxation from Alexandria via LeMat-Bulk. Energies are from PBE.

The value obtained for the density of states at the Fermi level is 7.3 states/eV per cell. The calculation puts the formation enthalpy at 0 K at 25.6 kcal/mol of atoms. For the distance to the lowest polymorph of the same formula, the calculation gives 0 meV per atom.

```
SrNb3Pd
1.0
-1.6429 -0.3864 -4.7305
-0.5539 -4.9561 0.5972
-4.7138 0.7170 1.5785
Nb Sr Pd
3 1 1
direct
0.0000 0.0000 0.5000
0.5000 0.0000 0.0000
0.0000 0.5000 0.0000
0.5000 0.5000 0.5000
0.0000 0.0000 0.0000
```

Record 8
Here is Sc8Sn2Pd after structural relaxation from Alexandria via LeMat-Bulk. Energies are from PBE.

The value obtained for the density of states at the Fermi level is 12.5 states/eV per cell. The calculation puts the formation enthalpy at 0 K at -9.5 kcal/mol of atoms.

```
Sc8Sn2Pd
1.0
4.7005 0.0000 0.0000
0.0000 6.2167 0.1194
-2.3503 -2.4628 8.6461
Sn Pd Sc
2 1 8
direct
0.8196 0.2435 0.6391
0.1804 0.7565 0.3609
0.5000 0.0000 0.0000
0.2188 0.3199 0.4375
0.0174 0.7741 0.0347
0.6480 0.0069 0.2959
0.9826 0.2259 0.9653
0.4094 0.5260 0.8188
0.7812 0.6801 0.5625
0.3520 0.9931 0.7041
0.5906 0.4740 0.1812
```

Record 9
Here is KHg2Mo after structural relaxation from Alexandria via LeMat-Bulk. Energies are from PBE.

The value obtained for the density of states at the Fermi level is 2.8 states/eV per cell. The calculation puts the formation enthalpy at 0 K at 14.5 kcal/mol of atoms. For the distance to the lowest polymorph of the same formula, the calculation gives 105 meV per atom.

```
KHg2Mo
1.0
4.9215 0.0125 -0.0084
4.0621 2.7786 -0.0084
0.6270 0.1948 7.5096
Mo Hg K
1 2 1
direct
0.2500 0.2500 0.2500
0.9905 0.9905 0.0621
0.5095 0.5095 0.4379
0.7500 0.7500 0.7500
```

Record 10
Here is PrNiGe after structural relaxation from Alexandria via LeMat-Bulk. Energies are from PBE.

The value obtained for the density of states at the Fermi level is 2.5 states/eV per cell. The calculation puts the formation enthalpy at 0 K at -15.8 kcal/mol of atoms.

```
PrNiGe
1.0
-1.3458 -0.7410 -3.9532
-0.2512 -4.0318 0.8413
-3.2562 2.4499 0.6493
Ni Ge Pr
1 1 1
direct
0.1669 0.0000 0.0000
0.1665 0.3333 0.6667
0.6666 0.6667 0.3333
```

What did we get for VASP energy? Answer: -76.63, -92.96, -18.21, -74.50, -23.12, -28.57, -31.53, -68.37, -10.02, -17.23 eV for the cell shown, in the order shown.